# 1
Here is a crystal of AlBSb2Te relaxed with PBEsol from Alexandria. Energies are from meta-GGA SCAN.

## Properties
* volume: 140 Å³/f.u.
* spin magnetization: 0.00 μB per formula unit
* space group: P4/mmm (123)
* raw total energy: -24.024 eV per atom

abc: 5.1436 5.1436 5.2817
angles: 90.00 90.00 90.00
Element x y z (fractional)
1 Te 0.0000 0.0000 0.5000
2 B 0.5000 0.5000 0.5000
3 Al 0.0000 0.0000 0.0000
4 Sb 0.0000 0.5000 0.0000
5 Sb 0.5000 0.0000 0.0000

# 2
Here is a crystal of Zn2AgSb relaxed with PBEsol from Alexandria. Energies are from meta-GGA SCAN.

## Properties
* volume: 72 Å³/f.u.
* spin magnetization: 0.00 μB per formula unit
* space group: I4/mmm (139)
* raw total energy: -23.731 eV per atom

abc: 4.1643 4.1643 5.0990
angles: 114.10 114.10 90.00
Element x y z (fractional)
1 Zn 0.2500 0.7500 0.5000
2 Sb 0.0000 0.0000 0.0000
3 Ag 0.5000 0.5000 0.0000
4 Zn 0.7500 0.2500 0.5000

# 3
Here is a crystal of In2Ge2Bi relaxed with PBEsol from Alexandria. Energies are from meta-GGA SCAN.

## Properties
* volume: 122 Å³/f.u.
* spin magnetization: 0.00 μB per formula unit
* space group: I4/mmm (139)
* raw total energy: -36.500 eV per atom

abc: 3.8184 3.8184 8.8243
angles: 102.50 102.50 90.00
Element x y z (fractional)
1 Ge 0.7500 0.2500 0.5000
2 In 0.6098 0.6098 0.2196
3 Bi 0.0000 0.0000 0.0000
4 Ge 0.2500 0.7500 0.5000
5 In 0.3902 0.3902 0.7804

# 4
Here is a crystal of Re5Tc4 relaxed with PBEsol from Alexandria. Energies are from meta-GGA SCAN.

## Properties
* volume: 129 Å³/f.u.
* spin magnetization: 0.00 μB per formula unit
* space group: I4/mmm (139)
* raw total energy: -55.036 eV per atom

abc: 3.8585 6.1037 6.1037
angles: 84.27 71.57 71.57
Element x y z (fractional)
1 Re 0.6673 0.6654 0.0000
2 Tc 0.6651 0.3349 0.3349
3 Tc 0.0000 0.3349 0.6651
4 Re 0.3327 0.3346 0.0000
5 Re 0.6673 0.0000 0.6654
6 Tc 0.0000 0.6651 0.3349
7 Re 0.0000 0.0000 0.0000
8 Re 0.3327 0.0000 0.3346
9 Tc 0.3349 0.6651 0.6651

# 5
Here is a crystal of KZrH3 relaxed with PBEsol from Alexandria. Energies are from meta-GGA SCAN.

## Properties
* volume: 67 Å³/f.u.
* spin magnetization: 1.59 μB per formula unit
* space group: Pm-3m (221)
* raw total energy: -10.004 eV per atom

abc: 4.0710 4.0710 4.0710
angles: 90.00 90.00 90.00
Site moments in Bohr magnetons follow the coordinates.
Element x y z (fractional)
1 H 0.0000 0.5000 0.0000  -0.01
2 H 0.5000 0.0000 0.0000  -0.01
3 H 0.0000 0.0000 0.5000  -0.01
4 Zr 0.0000 0.0000 0.0000  0.90
5 K 0.5000 0.5000 0.5000  0.05

# 6
Here is a crystal of SbP4O12 relaxed with PBEsol from Alexandria. Energies are from meta-GGA SCAN.

## Properties
* volume: 299 Å³/f.u.
* spin magnetization: 0.00 μB per formula unit
* space group: C2/m (12)
* raw total energy: -11.077 eV per atom

abc: 5.5101 10.9497 10.9497
angles: 71.57 76.13 76.13
Element x y z (fractional)
1 O 0.2956 0.6048 0.8872
2 O 0.9367 0.1315 0.6109
3 O 0.7273 0.6431 0.8968
4 Sb 0.0000 0.0000 0.5000
5 O 0.0633 0.8685 0.3891
6 Sb 0.0000 0.5000 0.0000
7 O 0.6556 0.9381 0.2966
8 O 0.7376 0.4537 0.7082
9 O 0.7044 0.3952 0.1128
10 O 0.3444 0.7034 0.0619
11 O 0.0000 0.7816 0.2184
12 P 0.1351 0.1908 0.6429
13 P 0.8649 0.3571 0.8092
14 O 0.2727 0.3569 0.1032
15 P 0.4417 0.9207 0.6879
16 O 0.2727 0.1032 0.3569
17 P 0.8649 0.8092 0.3571
18 O 0.3444 0.0619 0.7034
19 O 0.7273 0.8968 0.6431
20 O 0.7376 0.7082 0.4537
21 P 0.1351 0.6429 0.1908
22 O 0.2624 0.2918 0.5463
23 O 0.0000 0.2184 0.7816
24 O 0.0633 0.3891 0.8685
25 P 0.5583 0.3121 0.0793
26 P 0.4417 0.6879 0.9207
27 O 0.6556 0.2966 0.9381
28 P 0.5583 0.0793 0.3121
29 O 0.9367 0.6109 0.1315
30 O 0.3784 0.8363 0.8363
31 O 0.7044 0.1128 0.3952
32 O 0.6216 0.1637 0.1637
33 O 0.2956 0.8872 0.6048
34 O 0.2624 0.5463 0.2918

# 7
Here is a crystal of LaZrBr3 relaxed with PBEsol from Alexandria. Energies are from meta-GGA SCAN.

## Properties
* volume: 188 Å³/f.u.
* spin magnetization: 3.87 μB per formula unit
* space group: Pm-3m (221)
* raw total energy: -27.060 eV per atom

abc: 5.7265 5.7265 5.7265
angles: 90.00 90.00 90.00
Site moments in Bohr magnetons follow the coordinates.
Element x y z (fractional)
1 Br 0.0000 0.0000 0.5000  0.03
2 Br 0.0000 0.5000 0.0000  0.03
3 Zr 0.5000 0.5000 0.5000  1.87
4 Br 0.5000 0.0000 0.0000  0.03
5 La 0.0000 0.0000 0.0000  0.17

# 8
Here is a crystal of Ho2Hf2O7 relaxed with PBEsol from Alexandria. Energies are from meta-GGA SCAN.

## Properties
* volume: 139 Å³/f.u.
* spin magnetization: 0.00 μB per formula unit
* space group: Fd-3m (227)
* raw total energy: -28.161 eV per atom

abc: 7.3186 7.3186 7.3186
angles: 60.00 60.00 60.00
Element x y z (fractional)
1 Hf 0.1250 0.6250 0.1250
2 O 0.4651 0.0349 0.0349
3 Ho 0.6250 0.6250 0.6250
4 O 0.0349 0.4651 0.4651
5 O 0.0349 0.4651 0.0349
6 Hf 0.1250 0.1250 0.6250
7 O 0.7849 0.7849 0.2151
8 Ho 0.6250 0.1250 0.6250
9 O 0.7849 0.2151 0.2151
10 O 0.2151 0.7849 0.2151
11 Hf 0.1250 0.1250 0.1250
12 O 0.7849 0.2151 0.7849
13 O 0.2151 0.2151 0.7849
14 O 0.4651 0.0349 0.4651
15 O 0.4651 0.4651 0.0349
16 Hf 0.6250 0.1250 0.1250
17 Ho 0.1250 0.6250 0.6250
18 O 0.0349 0.0349 0.4651
19 O 0.7500 0.7500 0.7500
20 O 0.5000 0.5000 0.5000
21 O 0.2151 0.7849 0.7849
22 Ho 0.6250 0.6250 0.1250

volume of number 3 (In2Ge2Bi)? 122 Å³/f.u.

Which of these has the highest volume? SbP4O12

Which value of spin magnetization does entry 7 give? 3.87 μB per formula unit